# SrTa2Sb

A relaxed structure of SrTa2Sb (GGA-PBE, Alexandria via LeMat-Bulk).

Cell lengths 3.107, 3.107, 9.739 Å; angles 90.00, 90.00, 90.00 degrees
Atoms (fractional coordinates):
Sb 0.500 0.500 0.250
Sr 0.500 0.500 0.750
Ta 0.000 0.000 0.042
Ta 0.000 0.000 0.458

Properties
E_form (uncorrected): 0.788 eV/atom
Calculated total energy: -26.4 eV per formula unit
Size of the total moment: 0.0 Bohr magnetons per cell
DOS(E_F): 5.67 states/eV/f.u.


# SrTa2Sb

A relaxed structure of SrTa2Sb (GGA-PBE, Alexandria via LeMat-Bulk).

Cell lengths 4.751, 4.751, 10.843 Å; angles 77.34, 77.34, 90.00 degrees
Atoms (fractional coordinates):
Sb 0.000 0.000 0.000
Sb 0.750 0.250 0.500
Sr 0.500 0.500 0.000
Sr 0.250 0.750 0.500
Ta 0.963 0.125 0.250
Ta 0.787 0.625 0.250
Ta 0.375 0.037 0.750
Ta 0.875 0.213 0.750

Properties
E_form (uncorrected): 0.685 eV/atom
Calculated total energy: -26.8 eV per formula unit
Size of the total moment: 0.0 Bohr magnetons per cell
DOS(E_F): 3.47 states/eV/f.u.


# SrTaSb2

A relaxed structure of SrTaSb2 (GGA-PBE, Alexandria via LeMat-Bulk).

Cell lengths 3.550, 3.540, 8.763 Å; angles 66.25, 90.00, 90.00 degrees
Atoms (fractional coordinates):
Sb 0.000 0.048 0.952
Sb 0.000 0.452 0.548
Sr 0.500 0.250 0.250
Ta 0.500 0.750 0.750

Properties
Energy above the lowest structure with this stoichiometry: 47 meV/atom
E_form (uncorrected): -0.259 eV/atom
Calculated total energy: -22.8 eV per formula unit
Size of the total moment: 0.0 Bohr magnetons per cell
DOS(E_F): 2.56 states/eV/f.u.


> Number 1 is which compound?

SrTa2Sb